Entry 1:
First-principles (PBE) data for a geometry-optimized PRhAuO2 structure, as listed in Alexandria via LeMat-Bulk.

a = 3.7334 Å, b = 3.7334 Å, c = 5.4183 Å
α = 90.00°, β = 90.00°, γ = 90.00°
Closest atoms and distances in Å follow each position.
Sites, in units of the cell vectors:
P (0.0000, 0.0000, 0.0000)  4 Au 2.64, 2 Rh 2.71
Rh (0.0000, 0.0000, 0.5000)  4 O 1.87
Au (0.5000, 0.5000, 0.0000)  4 P 2.64
O (0.0000, 0.5000, 0.5000)  2 Rh 1.87
O (0.5000, 0.0000, 0.5000)  2 Rh 1.87

Values from the calculation:
- energy relative to the lowest polymorph listed for this composition (eV/atom) = 0.0000
- crystal system = tetragonal
- energy relative to the elements, uncorrected (eV per atom) = -0.011
- density of states at the Fermi level (states/eV/f.u.) = 1.7
- energy (eV per cell) = -26.0
- space-group type = P4/mmm, No. 123



Entry 2:
First-principles (PBE) data for a geometry-optimized LaTbAlSn structure, as listed in Alexandria via LeMat-Bulk.

a = 5.3806 Å, b = 5.3806 Å, c = 5.3806 Å
α = 60.00°, β = 60.00°, γ = 60.00°
Closest atoms and distances in Å follow each position.
Sites, in units of the cell vectors:
La (0.0000, 0.0000, 0.0000)  4 Sn 3.29, 4 Al 3.29
Tb (0.5000, 0.5000, 0.5000)  4 Al 3.29, 4 Sn 3.29
Al (0.7500, 0.7500, 0.7500)  4 Tb 3.29, 4 La 3.29
Sn (0.2500, 0.2500, 0.2500)  4 Tb 3.29, 4 La 3.29

Values from the calculation:
- formation enthalpy at 0 K (eV per atom) = -0.469
- crystal system = cubic
- density of states at the Fermi level (states/eV/f.u.) = 3.2
- energy (eV per cell) = -19.2
- space-group type = F-43m, No. 216



Entry 3:
First-principles (PBE) data for a geometry-optimized ErIn6Hg12 structure, as listed in Alexandria via LeMat-Bulk.

a = 7.9740 Å, b = 7.9740 Å, c = 7.9740 Å
α = 92.48°, β = 92.48°, γ = 92.48°
Closest atoms and distances in Å follow each position.
Sites, in units of the cell vectors:
Er (0.0000, 0.0000, 0.0000)  6 Hg 3.15, 6 In 3.32
In (0.1409, 0.7181, 0.2603)  7 Hg 3.09-3.46, 1 Er 3.32, 2 In 3.45
In (0.2603, 0.1409, 0.7181)  7 Hg 3.09-3.46, 1 Er 3.32, 2 In 3.45
In (0.2819, 0.7397, 0.8591)  7 Hg 3.09-3.46, 1 Er 3.32, 2 In 3.45
In (0.7181, 0.2603, 0.1409)  7 Hg 3.09-3.46, 1 Er 3.32, 2 In 3.45
In (0.7397, 0.8591, 0.2819)  7 Hg 3.09-3.46, 1 Er 3.32, 2 In 3.45
In (0.8591, 0.2819, 0.7397)  7 Hg 3.09-3.46, 1 Er 3.32, 2 In 3.45
Hg (0.0483, 0.1500, 0.3723)  4 Hg 3.11-3.31, 1 Er 3.15, 3 In 3.18-3.34
Hg (0.1500, 0.3723, 0.0483)  4 Hg 3.11-3.31, 1 Er 3.15, 3 In 3.18-3.34
Hg (0.1915, 0.4816, 0.5536)  4 In 3.09-3.46, 4 Hg 3.11-3.26
Hg (0.3723, 0.0483, 0.1500)  4 Hg 3.11-3.31, 1 Er 3.15, 3 In 3.18-3.34
Hg (0.4464, 0.8085, 0.5184)  4 In 3.09-3.46, 4 Hg 3.11-3.26
Hg (0.4816, 0.5536, 0.1915)  4 In 3.09-3.46, 4 Hg 3.11-3.26
Hg (0.5184, 0.4464, 0.8085)  4 In 3.09-3.46, 4 Hg 3.11-3.26
Hg (0.5536, 0.1915, 0.4816)  4 In 3.09-3.46, 4 Hg 3.11-3.26
Hg (0.6277, 0.9517, 0.8500)  4 Hg 3.11-3.31, 1 Er 3.15, 3 In 3.18-3.34
Hg (0.8085, 0.5184, 0.4464)  4 In 3.09-3.46, 4 Hg 3.11-3.26
Hg (0.8500, 0.6277, 0.9517)  4 Hg 3.11-3.31, 1 Er 3.15, 3 In 3.18-3.34
Hg (0.9517, 0.8500, 0.6277)  4 Hg 3.11-3.31, 1 Er 3.15, 3 In 3.18-3.34

Values from the calculation:
- formation enthalpy at 0 K (eV per atom) = -0.032
- crystal system = trigonal
- density of states at the Fermi level (states/eV/f.u.) = 8.8
- energy (eV per cell) = -25.2
- space-group type = R-3, No. 148



Entry 4:
First-principles (PBE) data for a geometry-optimized KBeSe2O8 structure, as listed in Alexandria via LeMat-Bulk.

a = 4.9737 Å, b = 4.9737 Å, c = 8.1570 Å
α = 90.00°, β = 90.00°, γ = 120.00°
Closest atoms and distances in Å follow each position.
Sites, in units of the cell vectors:
K (0.0000, 0.0000, 0.0000)  12 O 2.99-3.32
Be (0.0000, 0.0000, 0.5000)  6 O 1.84
Se (0.3333, 0.6667, 0.6944)  4 O 1.66-1.68
Se (0.6667, 0.3333, 0.3056)  4 O 1.66-1.68
O (0.0451, 0.3161, 0.6355)  1 Se 1.68, 1 Be 1.84
O (0.2710, 0.9549, 0.6355)  1 Se 1.68, 1 Be 1.84
O (0.3161, 0.2710, 0.3645)  1 Se 1.68, 1 Be 1.84
O (0.3333, 0.6667, 0.8984)  1 Se 1.66
O (0.6667, 0.3333, 0.1016)  1 Se 1.66
O (0.6839, 0.7290, 0.6355)  1 Se 1.68, 1 Be 1.84
O (0.7290, 0.0451, 0.3645)  1 Se 1.68, 1 Be 1.84
O (0.9549, 0.6839, 0.3645)  1 Se 1.68, 1 Be 1.84

Values from the calculation:
- crystal system = trigonal
- energy relative to the elements, uncorrected (eV per atom) = -0.966
- density of states at the Fermi level (states/eV/f.u.) = 7.7
- energy (eV per cell) = -63.1
- space-group type = P-3, No. 147



Entry 5:
First-principles (PBE) data for a geometry-optimized TaN2ClF structure, as listed in Alexandria via LeMat-Bulk.

a = 3.9145 Å, b = 3.9145 Å, c = 3.8579 Å
α = 90.00°, β = 90.00°, γ = 90.00°
Closest atoms and distances in Å follow each position.
Sites, in units of the cell vectors:
Ta (0.0000, 0.0000, 0.0000)  8 N 2.75, 4 F 2.77
N (0.0000, 0.5000, 0.5000)  2 Cl 1.96
N (0.5000, 0.0000, 0.5000)  2 Cl 1.96
Cl (0.5000, 0.5000, 0.5000)  2 F 1.93, 4 N 1.96
F (0.5000, 0.5000, 0.0000)  2 Cl 1.93

Values from the calculation:
- energy relative to the lowest polymorph listed for this composition (eV/atom) = 1.9385
- crystal system = tetragonal
- energy relative to the elements, uncorrected (eV per atom) = 1.730
- density of states at the Fermi level (states/eV/f.u.) = 3.2
- energy (eV per cell) = -23.6
- space-group type = P4/mmm, No. 123



Entry 6:
First-principles (PBE) data for a geometry-optimized PmGdCdNi structure, as listed in Alexandria via LeMat-Bulk.

a = 5.1501 Å, b = 5.1501 Å, c = 5.1501 Å
α = 60.00°, β = 60.00°, γ = 60.00°
Closest atoms and distances in Å follow each position.
Sites, in units of the cell vectors:
Pm (0.0000, 0.0000, 0.0000)  4 Cd 3.15, 4 Ni 3.15
Gd (0.5000, 0.5000, 0.5000)  4 Cd 3.15, 4 Ni 3.15
Cd (0.7500, 0.7500, 0.7500)  4 Gd 3.15, 4 Pm 3.15
Ni (0.2500, 0.2500, 0.2500)  4 Gd 3.15, 4 Pm 3.15

Values from the calculation:
- formation enthalpy at 0 K (eV per atom) = -0.218
- crystal system = cubic
- density of states at the Fermi level (states/eV/f.u.) = 3.3
- energy (eV per cell) = -26.4
- space-group type = F-43m, No. 216



Entry 7:
First-principles (PBE) data for a geometry-optimized LaZnTe2I structure, as listed in Alexandria via LeMat-Bulk.

a = 6.2544 Å, b = 6.2544 Å, c = 6.2669 Å
α = 90.00°, β = 90.00°, γ = 90.00°
Closest atoms and distances in Å follow each position.
Sites, in units of the cell vectors:
La (0.0000, 0.0000, 0.0000)  4 Te 3.13, 2 I 3.13
Zn (0.5000, 0.5000, 0.5000)  4 I 4.42, 8 Te 4.43
Te (0.0000, 0.5000, 0.0000)  2 La 3.13
Te (0.5000, 0.0000, 0.0000)  2 La 3.13
I (0.0000, 0.0000, 0.5000)  2 La 3.13

Values from the calculation:
- energy relative to the lowest polymorph listed for this composition (eV/atom) = 0.2439
- crystal system = tetragonal
- energy relative to the elements, uncorrected (eV per atom) = -0.299
- density of states at the Fermi level (states/eV/f.u.) = 8.4
- energy (eV per cell) = -15.5
- space-group type = P4/mmm, No. 123



Entry 8:
First-principles (PBE) data for a geometry-optimized Ce2Co2Si structure, as listed in Alexandria via LeMat-Bulk.

a = 5.3177 Å, b = 5.3177 Å, c = 7.6340 Å
α = 105.15°, β = 105.15°, γ = 58.72°
Closest atoms and distances in Å follow each position.
Sites, in units of the cell vectors:
Ce (0.0117, 0.6970, 0.8501)  4 Co 2.67-2.95
Ce (0.3030, 0.9883, 0.6499)  4 Co 2.67-2.95
Ce (0.6970, 0.0117, 0.3501)  4 Co 2.67-2.95
Ce (0.9883, 0.3030, 0.1499)  4 Co 2.67-2.95
Co (0.2431, 0.5003, 0.4911)  2 Si 2.46-2.48, 2 Co 2.63-2.70, 2 Ce 2.67-2.71
Co (0.5003, 0.2431, 0.9911)  2 Si 2.46-2.48, 2 Co 2.63-2.70, 2 Ce 2.67-2.71
Co (0.4997, 0.7569, 0.0089)  2 Si 2.46-2.48, 2 Co 2.63-2.70, 2 Ce 2.67-2.71
Co (0.7569, 0.4997, 0.5089)  2 Si 2.46-2.48, 2 Co 2.63-2.70, 2 Ce 2.67-2.71
Si (0.3495, 0.6505, 0.2500)  4 Co 2.46-2.48
Si (0.6505, 0.3495, 0.7500)  4 Co 2.46-2.48

Values from the calculation:
- crystal system = monoclinic
- energy relative to the elements, uncorrected (eV per atom) = -0.514
- density of states at the Fermi level (states/eV/f.u.) = 5.1
- energy (eV per cell) = -68.1
- space-group type = C2/c, No. 15



Entry 9:
First-principles (PBE) data for a geometry-optimized Cs4GaBr5 structure, as listed in Alexandria via LeMat-Bulk.

a = 8.8189 Å, b = 8.8189 Å, c = 8.8189 Å
α = 99.96°, β = 99.96°, γ = 130.85°
Closest atoms and distances in Å follow each position.
Sites, in units of the cell vectors:
Cs (0.0970, 0.2982, 0.3952)  6 Br 3.61-3.79
Cs (0.2982, 0.9030, 0.2011)  6 Br 3.61-3.79
Cs (0.7018, 0.0970, 0.7989)  6 Br 3.61-3.79
Cs (0.9030, 0.7018, 0.6048)  6 Br 3.61-3.79
Ga (0.5203, 0.5203, 0.0000)  1 Br 2.77
Br (0.2181, 0.5922, 0.8108)  1 Ga 3.37, 4 Cs 3.61-3.67
Br (0.4073, 0.2181, 0.6259)  1 Ga 3.37, 4 Cs 3.61-3.67
Br (0.5922, 0.7814, 0.3741)  1 Ga 3.37, 4 Cs 3.61-3.67
Br (0.7814, 0.4073, 0.1892)  1 Ga 3.37, 4 Cs 3.61-3.67
Br (0.8984, 0.8984, 0.0000)  1 Ga 2.77

Values from the calculation:
- crystal system = tetragonal
- energy relative to the elements, uncorrected (eV per atom) = -1.525
- density of states at the Fermi level (states/eV/f.u.) = 0.0
- energy (eV per cell) = -30.1
- space-group type = I4, No. 79



Entry 10:
First-principles (PBE) data for a geometry-optimized BeCu3Mo structure, as listed in Alexandria via LeMat-Bulk.

a = 3.9700 Å, b = 3.9700 Å, c = 3.9700 Å
α = 90.00°, β = 90.00°, γ = 90.00°
Closest atoms and distances in Å follow each position.
Sites, in units of the cell vectors:
Be (0.0000, 0.0000, 0.0000)  6 Cu 1.98
Cu (0.0000, 0.0000, 0.5000)  2 Be 1.98
Cu (0.0000, 0.5000, 0.0000)  2 Be 1.98
Cu (0.5000, 0.0000, 0.0000)  2 Be 1.98
Mo (0.5000, 0.5000, 0.5000)  12 Cu 2.81

Values from the calculation:
- formation enthalpy at 0 K (eV per atom) = 0.587
- energy relative to the lowest polymorph listed for this composition (eV/atom) = 0.0000
- crystal system = cubic
- density of states at the Fermi level (states/eV/f.u.) = 2.0
- energy (eV per cell) = -23.9
- space-group type = Pm-3m, No. 221



Entry 11:
First-principles (PBE) data for a geometry-optimized BeCu2SN structure, as listed in Alexandria via LeMat-Bulk.

a = 3.5148 Å, b = 3.5148 Å, c = 7.3983 Å
α = 90.00°, β = 90.00°, γ = 90.00°
Closest atoms and distances in Å follow each position.
Sites, in units of the cell vectors:
Be (0.0000, 0.0000, 0.0000)  4 S 2.49
Cu (0.0000, 0.5000, 0.5000)  2 N 1.76
Cu (0.5000, 0.0000, 0.5000)  2 N 1.76
S (0.5000, 0.5000, 0.0000)  4 Be 2.49
N (0.5000, 0.5000, 0.5000)  4 Cu 1.76

Values from the calculation:
- crystal system = tetragonal
- energy relative to the elements, uncorrected (eV per atom) = 0.499
- density of states at the Fermi level (states/eV/f.u.) = 3.0
- energy (eV per cell) = -21.9
- space-group type = P4/mmm, No. 123



Entry 12:
First-principles (PBE) data for a geometry-optimized ZrHg2Br structure, as listed in Alexandria via LeMat-Bulk.

a = 6.1300 Å, b = 6.1300 Å, c = 6.2343 Å
α = 90.80°, β = 90.80°, γ = 119.50°
Closest atoms and distances in Å follow each position.
Sites, in units of the cell vectors:
Zr (0.0000, 0.0000, 0.0000)  2 Br 2.72, 1 Zr 2.98
Zr (0.1393, 0.1393, 0.4608)  2 Br 2.67, 1 Zr 2.98
Hg (0.0391, 0.5032, 0.1876)  3 Zr 3.11-3.39, 4 Hg 3.11-3.33, 2 Br 3.44-3.48
Hg (0.4890, 0.4890, 0.8315)  3 Zr 3.12-3.30, 2 Hg 3.13-3.29, 2 Br 3.45
Hg (0.5032, 0.0391, 0.1876)  3 Zr 3.11-3.39, 4 Hg 3.11-3.33, 2 Br 3.44-3.48
Hg (0.6126, 0.6126, 0.3211)  3 Zr 3.07-3.34, 6 Hg 3.12-3.33
Br (0.1520, 0.7839, 0.6960)  2 Zr 2.67-2.72
Br (0.7839, 0.1520, 0.6960)  2 Zr 2.67-2.72

Values from the calculation:
- energy relative to the lowest polymorph listed for this composition (eV/atom) = 0.1036
- crystal system = monoclinic
- energy relative to the elements, uncorrected (eV per atom) = -0.282
- density of states at the Fermi level (states/eV/f.u.) = 1.9
- energy (eV per cell) = -23.9
- space-group type = Cm, No. 8



Copy entry 3 word for word.
First-principles (PBE) data for a geometry-optimized ErIn6Hg12 structure, as listed in Alexandria via LeMat-Bulk.

a = 7.9740 Å, b = 7.9740 Å, c = 7.9740 Å
α = 92.48°, β = 92.48°, γ = 92.48°
Closest atoms and distances in Å follow each position.
Sites, in units of the cell vectors:
Er (0.0000, 0.0000, 0.0000)  6 Hg 3.15, 6 In 3.32
In (0.1409, 0.7181, 0.2603)  7 Hg 3.09-3.46, 1 Er 3.32, 2 In 3.45
In (0.2603, 0.1409, 0.7181)  7 Hg 3.09-3.46, 1 Er 3.32, 2 In 3.45
In (0.2819, 0.7397, 0.8591)  7 Hg 3.09-3.46, 1 Er 3.32, 2 In 3.45
In (0.7181, 0.2603, 0.1409)  7 Hg 3.09-3.46, 1 Er 3.32, 2 In 3.45
In (0.7397, 0.8591, 0.2819)  7 Hg 3.09-3.46, 1 Er 3.32, 2 In 3.45
In (0.8591, 0.2819, 0.7397)  7 Hg 3.09-3.46, 1 Er 3.32, 2 In 3.45
Hg (0.0483, 0.1500, 0.3723)  4 Hg 3.11-3.31, 1 Er 3.15, 3 In 3.18-3.34
Hg (0.1500, 0.3723, 0.0483)  4 Hg 3.11-3.31, 1 Er 3.15, 3 In 3.18-3.34
Hg (0.1915, 0.4816, 0.5536)  4 In 3.09-3.46, 4 Hg 3.11-3.26
Hg (0.3723, 0.0483, 0.1500)  4 Hg 3.11-3.31, 1 Er 3.15, 3 In 3.18-3.34
Hg (0.4464, 0.8085, 0.5184)  4 In 3.09-3.46, 4 Hg 3.11-3.26
Hg (0.4816, 0.5536, 0.1915)  4 In 3.09-3.46, 4 Hg 3.11-3.26
Hg (0.5184, 0.4464, 0.8085)  4 In 3.09-3.46, 4 Hg 3.11-3.26
Hg (0.5536, 0.1915, 0.4816)  4 In 3.09-3.46, 4 Hg 3.11-3.26
Hg (0.6277, 0.9517, 0.8500)  4 Hg 3.11-3.31, 1 Er 3.15, 3 In 3.18-3.34
Hg (0.8085, 0.5184, 0.4464)  4 In 3.09-3.46, 4 Hg 3.11-3.26
Hg (0.8500, 0.6277, 0.9517)  4 Hg 3.11-3.31, 1 Er 3.15, 3 In 3.18-3.34
Hg (0.9517, 0.8500, 0.6277)  4 Hg 3.11-3.31, 1 Er 3.15, 3 In 3.18-3.34

Values from the calculation:
- formation enthalpy at 0 K (eV per atom) = -0.032
- crystal system = trigonal
- density of states at the Fermi level (states/eV/f.u.) = 8.8
- energy (eV per cell) = -25.2
- space-group type = R-3, No. 148



- Look up the energy of the twelfth one.
  -23.9 eV per cell



Copy entry 12 word for word.
First-principles (PBE) data for a geometry-optimized ZrHg2Br structure, as listed in Alexandria via LeMat-Bulk.

a = 6.1300 Å, b = 6.1300 Å, c = 6.2343 Å
α = 90.80°, β = 90.80°, γ = 119.50°
Closest atoms and distances in Å follow each position.
Sites, in units of the cell vectors:
Zr (0.0000, 0.0000, 0.0000)  2 Br 2.72, 1 Zr 2.98
Zr (0.1393, 0.1393, 0.4608)  2 Br 2.67, 1 Zr 2.98
Hg (0.0391, 0.5032, 0.1876)  3 Zr 3.11-3.39, 4 Hg 3.11-3.33, 2 Br 3.44-3.48
Hg (0.4890, 0.4890, 0.8315)  3 Zr 3.12-3.30, 2 Hg 3.13-3.29, 2 Br 3.45
Hg (0.5032, 0.0391, 0.1876)  3 Zr 3.11-3.39, 4 Hg 3.11-3.33, 2 Br 3.44-3.48
Hg (0.6126, 0.6126, 0.3211)  3 Zr 3.07-3.34, 6 Hg 3.12-3.33
Br (0.1520, 0.7839, 0.6960)  2 Zr 2.67-2.72
Br (0.7839, 0.1520, 0.6960)  2 Zr 2.67-2.72

Values from the calculation:
- energy relative to the lowest polymorph listed for this composition (eV/atom) = 0.1036
- crystal system = monoclinic
- energy relative to the elements, uncorrected (eV per atom) = -0.282
- density of states at the Fermi level (states/eV/f.u.) = 1.9
- energy (eV per cell) = -23.9
- space-group type = Cm, No. 8



- Which value of energy does entry 9 give?
  -30.1 eV per cell